1.
Compound: Sn3AuN
Source: Alexandria
Functional: GGA-PBE
Structure: relaxed

Cell lengths 5.3060, 5.3060, 5.3060 Å; angles 90.00, 90.00, 90.00 degrees
Space group Pm-3m (No. 221)
Asymmetric unit:
Sn 0.0000 0.0000 0.5000 [3 per cell]
Au 0.0000 0.0000 0.0000 [1 per cell]
N 0.5000 0.5000 0.5000 [1 per cell]

Results
The uncorrected formation energy is 135 kJ/mol of atoms. As for the total moment: 0.00 μB per cell. For the total energy, the calculation gives -3.323 eV/atom.



2.
Compound: Ge2Se2Cl
Source: Alexandria
Functional: GGA-PBE
Structure: relaxed

Cell lengths 8.0482, 8.0482, 3.7611 Å; angles 90.00, 90.00, 90.00 degrees
Space group P4/mbm (No. 127)
Asymmetric unit:
Ge 0.2292 0.2708 0.0000 [4 per cell]
Se 0.1258 0.6258 0.5000 [4 per cell]
Cl 0.0000 0.0000 0.0000 [2 per cell]

Results
The energy above the most stable polymorph in this dataset is 0.1173 eV per atom. The uncorrected formation energy is -21 kJ/mol of atoms. As for the total moment: 0.00 μB per cell. For the total energy, the calculation gives -3.831 eV/atom.



3.
Compound: Pr4MgPd2
Source: Alexandria
Functional: GGA-PBE
Structure: relaxed

Cell lengths 7.0613, 7.2026, 9.2663 Å; angles 107.89, 107.36, 102.24 degrees
Space group P1 (No. 1)
Asymmetric unit:
Pr 0.0000 0.0000 0.0000 [1 per cell]
Pr 0.0176 0.5181 0.0365 [1 per cell]
Pr 0.1280 0.2830 0.4576 [1 per cell]
Pr 0.4298 0.2293 0.8621 [1 per cell]
Pr 0.5486 0.8207 0.5870 [1 per cell]
Pr 0.5861 0.8858 0.1744 [1 per cell]
Pr 0.6882 0.3435 0.5783 [1 per cell]
Pr 0.9802 0.7521 0.4500 [1 per cell]
Mg 0.2312 0.6769 0.7885 [1 per cell]
Mg 0.4611 0.4086 0.2480 [1 per cell]
Pd 0.2752 0.9555 0.3200 [1 per cell]
Pd 0.6221 0.6303 0.8502 [1 per cell]
Pd 0.7897 0.2986 0.1865 [1 per cell]
Pd 0.9736 0.1544 0.7165 [1 per cell]

Results
As for the total moment: 0.00 μB per cell. For the total energy, the calculation gives -4.860 eV/atom. For the formation energy, the calculation gives -2.92 eV/f.u.



4.
Compound: Th4Te5P
Source: Alexandria
Functional: GGA-PBE
Structure: relaxed

Cell lengths 19.0918, 4.3185, 8.6973 Å; angles 90.00, 102.88, 90.00 degrees
Space group C2/m (No. 12)
Asymmetric unit:
Th 0.0005 0.0000 0.2722 [4 per cell]
Th 0.1563 0.5000 0.5817 [4 per cell]
Te 0.0000 0.5000 0.0000 [2 per cell]
Te 0.1669 0.0000 0.8429 [4 per cell]
Te 0.1710 0.0000 0.3194 [4 per cell]
P 0.0000 0.5000 0.5000 [2 per cell]

Results
The uncorrected formation energy is -120 kJ/mol of atoms. As for the total moment: 0.00 μB per cell. For the total energy, the calculation gives -6.319 eV/atom.